Entry one
Hf2InF PBE relaxed; total magnetic moment = 0.00 Bohr magnetons per cell; D(E_F) = 3.6 states/eV per cell
1.0
-5.097 -0.800 -0.439
0.913 -4.412 -2.552
-2.065 -6.052 4.470
F Hf In
2 4 2
Direct
0.500 0.500 0.000
0.250 0.750 0.500
0.470 0.125 0.250
0.280 0.625 0.250
0.375 0.530 0.750
0.875 0.720 0.750
0.000 0.000 0.000
0.750 0.250 0.500

Entry two
Hf2InF PBE relaxed; total magnetic moment = 0.00 Bohr magnetons per cell; D(E_F) = 3.7 states/eV per cell
1.0
0.000 3.381 3.381
3.381 0.000 3.381
3.381 3.381 0.000
F Hf In
1 2 1
Direct
0.000 0.000 0.000
0.250 0.250 0.250
0.750 0.750 0.750
0.500 0.500 0.500

Which of them is most stable? Easy: entry two.